MgTc after structural relaxation. Source: Alexandria, functional PBE.

abc: 9.3445 9.3445 2.8305
angles: 90.00 90.00 120.00
Last column: nearest neighbours and their distance in Å.
Space group P6_3/m (No. 176)
Asymmetric unit:
Mg 0.1045 0.3218 0.2500 x6  5 Tc 2.83-2.84, 6 Mg 2.83-3.01
Tc 0.1559 0.6062 0.7500 x6  4 Tc 2.53-2.83, 3 Mg 2.83

Calculated values
- ΔE to the lowest computed polymorph (eV/atom) = 0.333
- electronic total energy (eV/atom) = -5.67
- ΔH_f (0 K) (eV/f.u.) = 0.6
- crystal system = hexagonal